# NdAgTe3Au

Crystalline NdAgTe3Au at its relaxed geometry (PBE, Alexandria via LeMat-Bulk).

Geometry as CIF:
```
data_NdAgTe3Au
_space_group_name_H-M_alt 'P 1 21/m 1'
_space_group_IT_number 11
_cell_length_a 8.2497
_cell_length_b 4.3452
_cell_length_c 9.5213
_cell_angle_alpha 90.00
_cell_angle_beta 97.19
_cell_angle_gamma 90.00
loop_
_space_group_symop_operation_xyz
'x,y,z'
'-x,-y,-z'
'-x,y+1/2,-z'
'x,-y+1/2,z'
loop_
_atom_site_label
_atom_site_fract_x
_atom_site_fract_y
_atom_site_fract_z
_atom_site_occupancy
Nd1 0.1629 0.2500 0.2515 1
Ag1 0.3560 0.7500 0.8313 1
Te1 0.1032 0.2500 0.8786 1
Te2 0.2845 0.7500 0.5116 1
Te3 0.4017 0.7500 0.1441 1
Au1 0.0821 0.2500 0.5816 1
```

Properties
- E_form (uncorrected): -0.546 eV per atom
- Total DFT energy (no corrections): -3.933 eV/atom